{"formula": "Dy2YGa6", "functional": "PBE", "state": "optimized geometry", "lattice": [[4.124, 0.000, 0.000], [0.000, 6.311, -3.644], [0.000, 0.000, 7.288]], "species": ["Ga", "Ga", "Ga", "Ga", "Ga", "Ga", "Y", "Dy", "Dy"], "fractional_positions": [[0.500, 0.000, 0.333], [0.500, 0.667, 0.667], [0.500, 0.333, 0.000], [0.500, 0.000, 0.667], [0.500, 0.333, 0.333], [0.500, 0.667, 0.000], [0.000, 0.000, 0.000], [0.000, 0.333, 0.667], [0.000, 0.667, 0.333]], "de_polymorph_ev_per_atom": 0.000, "total_magnetization_mub_per_fu": 0.00, "energy_ev_per_cell": -39.6, "sg": "P6/mmm, No. 191"}



{"formula": "Dy3YGa", "functional": "PBE", "state": "optimized geometry", "lattice": [[7.410, 0.008, -0.277], [-2.020, 7.129, 0.277], [-3.211, -3.179, 5.893]], "species": ["Dy", "Dy", "Dy", "Dy", "Dy", "Dy", "Y", "Y", "Ga", "Ga"], "fractional_positions": [[0.774, 0.566, 0.722], [0.156, 0.948, 0.722], [0.282, 0.558, 0.840], [0.718, 0.442, 0.160], [0.226, 0.434, 0.278], [0.844, 0.052, 0.278], [0.286, 0.941, 0.226], [0.714, 0.059, 0.774], [0.375, 0.249, 0.624], [0.625, 0.751, 0.376]], "total_magnetization_mub_per_fu": 0.00, "energy_ev_per_cell": -47.3, "sg": "C2/m, No. 12"}



{"formula": "DyYGa", "functional": "PBE", "state": "optimized geometry", "lattice": [[4.968, 0.000, 0.000], [2.484, 4.303, 0.000], [2.484, 1.434, 4.057]], "species": ["Dy", "Ga", "Y"], "fractional_positions": [[0.000, 0.000, 0.000], [0.250, 0.250, 0.250], [0.500, 0.500, 0.500]], "de_polymorph_ev_per_atom": 0.149, "total_magnetization_mub_per_fu": 0.00, "energy_ev_per_cell": -14.9, "sg": "F-43m, No. 216"}



{"formula": "DyYGa4", "functional": "PBE", "state": "optimized geometry", "lattice": [[4.220, 0.000, 0.000], [2.110, 5.464, -0.499], [2.110, 1.121, 5.371]], "species": ["Ga", "Ga", "Ga", "Ga", "Y", "Dy"], "fractional_positions": [[0.749, 0.585, 0.918], [0.251, 0.082, 0.415], [0.749, 0.918, 0.585], [0.251, 0.415, 0.082], [0.500, 0.500, 0.500], [0.000, 0.000, 0.000]], "de_polymorph_ev_per_atom": 0.000, "total_magnetization_mub_per_fu": 0.00, "energy_ev_per_cell": -27.1, "sg": "Immm, No. 71"}



{"formula": "Dy4YGa15", "functional": "PBE", "state": "optimized geometry", "lattice": [[-0.319, 2.274, -3.614], [3.284, -2.186, -1.665], [-13.588, -14.413, -7.871]], "species": ["Ga", "Ga", "Ga", "Ga", "Ga", "Ga", "Ga", "Ga", "Ga", "Ga", "Ga", "Ga", "Ga", "Ga", "Ga", "Dy", "Dy", "Dy", "Dy", "Y"], "fractional_positions": [[0.000, 0.500, 0.500], [0.000, 0.500, 0.900], [0.000, 0.500, 0.700], [0.000, 0.500, 0.300], [0.500, 0.000, 0.300], [0.500, 0.500, 0.000], [0.500, 0.500, 0.800], [0.000, 0.500, 0.100], [0.500, 0.000, 0.100], [0.500, 0.500, 0.200], [0.500, 0.000, 0.500], [0.500, 0.500, 0.600], [0.500, 0.500, 0.400], [0.500, 0.000, 0.700], [0.500, 0.000, 0.900], [0.000, 0.000, 0.200], [0.000, 0.000, 0.400], [0.000, 0.000, 0.600], [0.000, 0.000, 0.800], [0.000, 0.000, 0.000]], "total_magnetization_mub_per_fu": 0.00, "energy_ev_per_cell": -81.0, "sg": "P4/mmm, No. 123"}



{"formula": "Dy2YGa2", "functional": "PBE", "state": "optimized geometry", "lattice": [[-2.337, 0.634, 3.559], [5.892, -2.409, 4.299], [2.624, 7.205, 0.440]], "species": ["Ga", "Ga", "Ga", "Ga", "Y", "Y", "Dy", "Dy", "Dy", "Dy"], "fractional_positions": [[0.000, 0.380, 0.880], [0.000, 0.120, 0.380], [0.000, 0.620, 0.120], [0.000, 0.880, 0.620], [0.000, 0.000, 0.000], [0.000, 0.500, 0.500], [0.500, 0.826, 0.326], [0.500, 0.174, 0.674], [0.500, 0.674, 0.826], [0.500, 0.326, 0.174]], "de_polymorph_ev_per_atom": 0.000, "total_magnetization_mub_per_fu": 0.00, "energy_ev_per_cell": -48.7, "sg": "P4/mbm, No. 127"}



{"formula": "DyYGa4", "functional": "PBE", "state": "optimized geometry", "lattice": [[-0.696, 5.289, -1.385], [-4.719, 1.642, -2.325], [-3.520, 3.152, 2.838]], "species": ["Ga", "Ga", "Ga", "Ga", "Dy", "Y"], "fractional_positions": [[0.625, 0.625, 0.125], [0.625, 0.125, 0.625], [0.125, 0.625, 0.625], [0.625, 0.625, 0.625], [0.250, 0.250, 0.250], [0.000, 0.000, 0.000]], "de_polymorph_ev_per_atom": 0.095, "total_magnetization_mub_per_fu": 0.00, "energy_ev_per_cell": -26.5, "sg": "F-43m, No. 216"}



{"formula": "DyYGa", "functional": "PBE", "state": "optimized geometry", "lattice": [[-3.239, -3.473, -0.530], [0.512, -1.180, 4.602], [-5.293, 4.664, 1.785]], "species": ["Dy", "Dy", "Ga", "Ga", "Y", "Y"], "fractional_positions": [[0.500, 0.000, 0.241], [0.000, 0.500, 0.759], [0.000, 0.000, 0.000], [0.500, 0.500, 0.000], [0.500, 0.000, 0.723], [0.000, 0.500, 0.277]], "de_polymorph_ev_per_atom": 0.197, "total_magnetization_mub_per_fu": 0.00, "energy_ev_per_cell": -29.5, "sg": "P4/nmm, No. 129"}



{"formula": "Dy2Y2ZnGa4", "functional": "PBE", "state": "optimized geometry", "lattice": [[6.559, 0.162, 0.233], [-3.007, 5.831, -0.233], [-3.007, -2.267, 5.378]], "species": ["Y", "Y", "Ga", "Ga", "Ga", "Ga", "Dy", "Dy", "Zn"], "fractional_positions": [[0.500, 0.250, 0.750], [0.500, 0.750, 0.250], [0.490, 0.245, 0.245], [0.000, 0.245, 0.755], [0.000, 0.755, 0.245], [0.510, 0.755, 0.755], [0.000, 0.313, 0.313], [0.000, 0.687, 0.687], [0.000, 0.000, 0.000]], "total_magnetization_mub_per_fu": 0.01, "energy_ev_per_cell": -38.2, "sg": "I4/mmm, No. 139"}



{"formula": "Dy2YZn2Ga2", "functional": "PBE", "state": "optimized geometry", "lattice": [[4.436, 0.000, 0.000], [2.218, 3.842, 0.000], [2.218, 1.281, 9.160]], "species": ["Ga", "Ga", "Zn", "Zn", "Dy", "Dy", "Y"], "fractional_positions": [[0.263, 0.263, 0.212], [0.737, 0.737, 0.788], [0.602, 0.602, 0.194], [0.398, 0.398, 0.806], [0.127, 0.127, 0.620], [0.873, 0.873, 0.380], [0.000, 0.000, 0.000]], "total_magnetization_mub_per_fu": 0.00, "energy_ev_per_cell": -27.1, "sg": "R-3m, No. 166"}



{"formula": "Dy5ZnGa2", "functional": "PBE", "state": "optimized geometry", "lattice": [[-1.940, 0.511, -4.562], [-0.354, -4.366, 2.384], [-17.312, 5.777, 8.009]], "species": ["Ga", "Ga", "Ga", "Ga", "Zn", "Zn", "Dy", "Dy", "Dy", "Dy", "Dy", "Dy", "Dy", "Dy", "Dy", "Dy"], "fractional_positions": [[0.333, 0.665, 0.902], [0.333, 0.665, 0.598], [0.667, 0.335, 0.098], [0.667, 0.335, 0.402], [0.335, 0.670, 0.250], [0.665, 0.330, 0.750], [0.999, 0.998, 0.657], [0.001, 0.002, 0.343], [0.334, 0.668, 0.446], [0.668, 0.336, 0.250], [0.334, 0.668, 0.054], [0.332, 0.664, 0.750], [0.666, 0.332, 0.946], [0.666, 0.332, 0.554], [0.999, 0.998, 0.843], [0.001, 0.002, 0.157]], "de_polymorph_ev_per_atom": 0.105, "total_magnetization_mub_per_fu": 0.00, "energy_ev_per_cell": -65.2, "sg": "Cmcm, No. 63"}



{"formula": "Dy3Zn8Ga3", "functional": "PBE", "state": "optimized geometry", "lattice": [[4.270, 0.000, 0.000], [2.135, 7.860, -0.084], [2.135, 2.059, 7.586]], "species": ["Zn", "Zn", "Zn", "Zn", "Zn", "Zn", "Zn", "Zn", "Dy", "Dy", "Dy", "Ga", "Ga", "Ga"], "fractional_positions": [[0.163, 0.466, 0.208], [0.643, 0.086, 0.629], [0.357, 0.914, 0.371], [0.837, 0.534, 0.792], [0.357, 0.371, 0.914], [0.643, 0.629, 0.086], [0.163, 0.208, 0.466], [0.837, 0.792, 0.534], [0.189, 0.811, 0.811], [0.500, 0.500, 0.500], [0.811, 0.189, 0.189], [0.000, 0.788, 0.212], [0.000, 0.212, 0.788], [0.500, 0.000, 0.000]], "total_magnetization_mub_per_fu": 0.00, "energy_ev_per_cell": -38.4, "sg": "Immm, No. 71"}